one:
Mg2CoMoN | PBE | relaxed

It has space group P4/mmm (No. 123), with a = 4.145 Å, b = 4.145 Å, c = 4.067 Å, α = 90.00°, β = 90.00° and γ = 90.00°. The inequivalent atoms are Mg at (0.000, 0.500, 0.000), Co at (0.000, 0.000, 0.500), Mo at (0.500, 0.500, 0.500) and N at (0.500, 0.500, 0.000).

The calculation puts the calculated volume at 70 Å³/cell.

***

two:
Mg2CoMoN | PBE | relaxed

It has space group P4/mmm (No. 123), with a = 5.290 Å, b = 5.290 Å, c = 3.798 Å, α = 90.00°, β = 90.00° and γ = 90.00°. The inequivalent atoms are Mg at (0.000, 0.500, 0.000), Co at (0.000, 0.000, 0.500), Mo at (0.500, 0.500, 0.000) and N at (0.500, 0.500, 0.500).

The calculation puts the calculated volume at 106 Å³/cell.

***

On energetic grounds, one is preferred over the next structure by 1015 meV per atom.

***

one:
Mg3CoN | PBE | relaxed

It has space group Pm-3m (No. 221), with a = 4.748 Å, b = 4.748 Å, c = 4.748 Å, α = 90.00°, β = 90.00° and γ = 90.00°. The inequivalent atoms are Mg at (0.000, 0.000, 0.500), Co at (0.000, 0.000, 0.000) and N at (0.500, 0.500, 0.500).

The calculation puts the calculated volume at 107 Å³/cell.

***

two:
Mg3CoN | PBE | relaxed

It has space group Pm-3m (No. 221), with a = 4.212 Å, b = 4.212 Å, c = 4.212 Å, α = 90.00°, β = 90.00° and γ = 90.00°. The inequivalent atoms are Mg at (0.000, 0.000, 0.500), Co at (0.500, 0.500, 0.500) and N at (0.000, 0.000, 0.000).

The calculation puts the calculated volume at 75 Å³/cell.

***

On energetic grounds, two is preferred over the next structure by 1276 meV per atom.

***

one:
MgCoNi2N | PBE | relaxed

It has space group P4/mmm (No. 123), with a = 4.325 Å, b = 4.325 Å, c = 4.435 Å, α = 90.00°, β = 90.00° and γ = 90.00°. The inequivalent atoms are Mg at (0.000, 0.000, 0.000), Co at (0.000, 0.000, 0.500), Ni at (0.000, 0.500, 0.000) and N at (0.500, 0.500, 0.500).

The calculation puts the calculated volume at 83 Å³/cell.

***

two:
MgCoNi2N | PBE | relaxed

It has space group P4/mmm (No. 123), with a = 3.837 Å, b = 3.837 Å, c = 3.743 Å, α = 90.00°, β = 90.00° and γ = 90.00°. The inequivalent atoms are Mg at (0.000, 0.000, 0.000), Co at (0.500, 0.500, 0.000), Ni at (0.000, 0.500, 0.500) and N at (0.500, 0.500, 0.500).

The calculation puts the calculated volume at 55 Å³/cell.

***

On energetic grounds, two is preferred over the next structure by 2555 meV per atom.

***

one:
MgCoS2N | PBE | relaxed

It has space group P4/mmm (No. 123), with a = 4.734 Å, b = 4.734 Å, c = 3.383 Å, α = 90.00°, β = 90.00° and γ = 90.00°. The inequivalent atoms are Mg at (0.000, 0.000, 0.000), Co at (0.500, 0.500, 0.500), S at (0.000, 0.500, 0.500) and N at (0.500, 0.500, 0.000).

The calculation puts the calculated volume at 76 Å³/cell.

***

two:
MgCoS2N | PBE | relaxed

It has space group P4/mmm (No. 123), with a = 4.792 Å, b = 4.792 Å, c = 3.835 Å, α = 90.00°, β = 90.00° and γ = 90.00°. The inequivalent atoms are Mg at (0.000, 0.000, 0.000), Co at (0.500, 0.500, 0.500), S at (0.000, 0.500, 0.000) and N at (0.000, 0.000, 0.500).

The calculation puts the calculated volume at 88 Å³/cell.

***

On energetic grounds, one is preferred over the next structure by 1143 meV per atom.

***

one:
MgCoSe2N | PBE | relaxed

It has space group P4/mmm (No. 123), with a = 5.112 Å, b = 5.112 Å, c = 3.904 Å, α = 90.00°, β = 90.00° and γ = 90.00°. The inequivalent atoms are Mg at (0.000, 0.000, 0.000), Co at (0.500, 0.500, 0.500), Se at (0.000, 0.500, 0.000) and N at (0.000, 0.000, 0.500).

The calculation puts the calculated volume at 102 Å³/cell.

***

two:
MgCoSe2N | PBE | relaxed

It has space group P4/mmm (No. 123), with a = 5.006 Å, b = 5.006 Å, c = 3.395 Å, α = 90.00°, β = 90.00° and γ = 90.00°. The inequivalent atoms are Mg at (0.000, 0.000, 0.000), Co at (0.500, 0.500, 0.500), Se at (0.000, 0.500, 0.500) and N at (0.500, 0.500, 0.000).

The calculation puts the calculated volume at 85 Å³/cell.

***

On energetic grounds, two is preferred over the next structure by 1063 meV per atom.

***

one:
MgCoSnN | PBE | relaxed

It has space group R3m (No. 160, hexagonal axes), with a = 3.1590 Å, b = 3.1590 Å, c = 19.9081 Å, α = 90.00°, β = 90.00° and γ = 120.00°. The inequivalent atoms are Mg at (0.0000, 0.0000, 0.0000), Co at (0.0000, 0.0000, 0.5667), Sn at (0.0000, 0.0000, 0.7962) and N at (0.0000, 0.0000, 0.2764).

The calculation puts the calculated volume at 172 Å³/cell.

***

two:
MgCoSnN | PBE | relaxed

It has space group Cm (No. 8), with a = 9.933 Å, b = 3.411 Å, c = 3.824 Å, α = 90.00°, β = 99.04° and γ = 90.00°. The inequivalent atoms are Mg at (0.000, 0.000, 0.000), Co at (0.268, 0.000, 0.897), Sn at (0.247, 0.500, 0.394) and N at (0.112, 0.000, 0.540).

The calculation puts the calculated volume at 128 Å³/cell.

***

three:
MgCoSnN | PBE | relaxed

It has space group Cm (No. 8), with a = 5.260 Å, b = 3.102 Å, c = 7.328 Å, α = 90.00°, β = 104.11° and γ = 90.00°. The inequivalent atoms are Mg at (0.000, 0.000, 0.000), Co at (0.391, 0.500, 0.666), Sn at (0.453, 0.000, 0.364) and N at (0.268, 0.000, 0.798).

The calculation puts the calculated volume at 116 Å³/cell.

***

On energetic grounds, one is preferred over the next structure by 162 meV per atom.

***

one:
MgCoTeN2 | PBE | relaxed

It has space group P4/mmm (No. 123), with a = 3.783 Å, b = 3.783 Å, c = 5.391 Å, α = 90.00°, β = 90.00° and γ = 90.00°. The inequivalent atoms are Mg at (0.000, 0.000, 0.000), Co at (0.500, 0.500, 0.500), Te at (0.500, 0.500, 0.000) and N at (0.000, 0.500, 0.500).

The calculation puts the calculated volume at 77 Å³/cell.

***

two:
MgCoTeN2 | PBE | relaxed

It has space group P4/mmm (No. 123), with a = 3.883 Å, b = 3.883 Å, c = 5.963 Å, α = 90.00°, β = 90.00° and γ = 90.00°. The inequivalent atoms are Mg at (0.000, 0.000, 0.000), Co at (0.500, 0.500, 0.500), Te at (0.000, 0.000, 0.500) and N at (0.000, 0.500, 0.000).

The calculation puts the calculated volume at 90 Å³/cell.

***

On energetic grounds, one is preferred over the next structure by 787 meV per atom.

***

one:
MgCoTe2N | PBE | relaxed

It has space group P4/mmm (No. 123), with a = 5.411 Å, b = 5.411 Å, c = 3.422 Å, α = 90.00°, β = 90.00° and γ = 90.00°. The inequivalent atoms are Mg at (0.000, 0.000, 0.000), Co at (0.500, 0.500, 0.500), Te at (0.000, 0.500, 0.500) and N at (0.500, 0.500, 0.000).

The calculation puts the calculated volume at 100 Å³/cell.

***

two:
MgCoTe2N | PBE | relaxed

It has space group P4/mmm (No. 123), with a = 5.539 Å, b = 5.539 Å, c = 3.818 Å, α = 90.00°, β = 90.00° and γ = 90.00°. The inequivalent atoms are Mg at (0.000, 0.000, 0.000), Co at (0.500, 0.500, 0.500), Te at (0.000, 0.500, 0.000) and N at (0.000, 0.000, 0.500).

The calculation puts the calculated volume at 117 Å³/cell.

***

three:
MgCoTe2N | PBE | relaxed

It has space group P4/mmm (No. 123), with a = 5.268 Å, b = 5.268 Å, c = 4.622 Å, α = 90.00°, β = 90.00° and γ = 90.00°. The inequivalent atoms are Mg at (0.000, 0.000, 0.000), Co at (0.000, 0.000, 0.500), Te at (0.000, 0.500, 0.000) and N at (0.500, 0.500, 0.500).

The calculation puts the calculated volume at 128 Å³/cell.

***

On energetic grounds, one is preferred over the next structure by 1005 meV per atom.

***

one:
NaMg14Co | PBE | relaxed

It has space group P-6m2 (No. 187), with a = 6.3238 Å, b = 6.3238 Å, c = 10.1574 Å, α = 90.00°, β = 90.00° and γ = 120.00°. The inequivalent atoms are Na at (0.0000, 0.0000, 0.0000), Mg at (0.0059, 0.5029, 0.0000), Mg at (0.1618, 0.3236, 0.2680), Mg at (0.5033, 0.0067, 0.5000), Mg at (0.6667, 0.3333, 0.2437) and Co at (0.0000, 0.0000, 0.5000).

The calculation puts the calculated volume at 352 Å³/cell.

***

two:
NaMg14Co | PBE | relaxed

It has space group Amm2 (No. 38), with a = 10.175 Å, b = 6.341 Å, c = 10.936 Å, α = 90.00°, β = 90.00° and γ = 90.00°. The inequivalent atoms are Na at (0.000, 0.000, 0.000), Mg at (0.000, 0.241, 0.750), Mg at (0.227, 0.000, 0.347), Mg at (0.238, 0.241, 0.587), Mg at (0.256, 0.000, 0.838), Mg at (0.500, 0.000, 0.008), Mg at (0.500, 0.000, 0.506), Mg at (0.500, 0.246, 0.255) and Co at (0.000, 0.000, 0.517).

The calculation puts the calculated volume at 706 Å³/cell.

***

On energetic grounds, one is preferred over the next structure by 11 meV per atom.

***

one:
NaMgCo3 | PBE | relaxed

It has space group Pm-3m (No. 221), with a = 4.573 Å, b = 4.573 Å, c = 4.573 Å, α = 90.00°, β = 90.00° and γ = 90.00°. The inequivalent atoms are Na at (0.000, 0.000, 0.000), Mg at (0.500, 0.500, 0.500) and Co at (0.000, 0.500, 0.500).

The calculation puts the calculated volume at 96 Å³/cell.

***

two:
NaMgCo3 | PBE | relaxed

It has space group Pm-3m (No. 221), with a = 4.430 Å, b = 4.430 Å, c = 4.430 Å, α = 90.00°, β = 90.00° and γ = 90.00°. The inequivalent atoms are Na at (0.000, 0.000, 0.000), Mg at (0.500, 0.500, 0.500) and Co at (0.000, 0.000, 0.500).

The calculation puts the calculated volume at 87 Å³/cell.

***

On energetic grounds, one is preferred over the next structure by 270 meV per atom.

***

one:
NaMg2Co | PBE | relaxed

It has space group I-42d (No. 122), with a = 4.292 Å, b = 4.292 Å, c = 19.043 Å, α = 90.00°, β = 90.00° and γ = 90.00°. The inequivalent atoms are Na at (0.000, 0.000, 0.000), Mg at (0.216, 0.250, 0.625) and Co at (0.000, 0.000, 0.500).

The calculation puts the calculated volume at 351 Å³/cell.

***

two:
NaMg2Co | PBE | relaxed

It has space group Fm-3m (No. 225), with a = 6.639 Å, b = 6.639 Å, c = 6.639 Å, α = 90.00°, β = 90.00° and γ = 90.00°. The inequivalent atoms are Na at (0.000, 0.000, 0.000), Mg at (0.250, 0.250, 0.250) and Co at (0.000, 0.000, 0.500).

The calculation puts the calculated volume at 293 Å³/cell.

***

On energetic grounds, two is preferred over the next structure by 315 meV per atom.

***

one:
Na3MgCo | PBE | relaxed

It has space group Pm-3m (No. 221), with a = 5.386 Å, b = 5.386 Å, c = 5.386 Å, α = 90.00°, β = 90.00° and γ = 90.00°. The inequivalent atoms are Na at (0.000, 0.000, 0.500), Mg at (0.500, 0.500, 0.500) and Co at (0.000, 0.000, 0.000).

The calculation puts the calculated volume at 156 Å³/cell.

***

two:
Na3MgCo | PBE | relaxed

It has space group Pm-3m (No. 221), with a = 5.778 Å, b = 5.778 Å, c = 5.778 Å, α = 90.00°, β = 90.00° and γ = 90.00°. The inequivalent atoms are Na at (0.000, 0.000, 0.500), Mg at (0.000, 0.000, 0.000) and Co at (0.500, 0.500, 0.500).

The calculation puts the calculated volume at 193 Å³/cell.

***

On energetic grounds, one is preferred over the next structure by 242 meV per atom.